No. 1
Density functional theory data (SCAN) for MgNbSe3 at its PBEsol-relaxed geometry.

```
MgNbSe3
1.0
5.010 0.000 0.000
0.000 5.010 0.000
0.000 0.000 5.010
Mg Se Nb
1 3 1
direct
0.500 0.500 0.500
0.500 0.000 0.000
0.000 0.000 0.500
0.000 0.500 0.000
0.000 0.000 0.000
```

Output
For the calculated total energy, the calculation gives -19.98 eV/atom. The density comes out at 4.68 Mg/m³. The volume comes out at 125.7 Å³/cell. The value obtained for the density of states at the Fermi level is 2.70 states/eV per cell.

No. 2
Density functional theory data (SCAN) for Mg2NbSi2 at its PBEsol-relaxed geometry.

```
Mg2NbSi2
1.0
-3.634 0.162 -1.329
1.152 -5.419 -3.811
-2.019 -3.971 5.037
Mg Nb Si
4 2 4
direct
0.500 0.324 0.176
0.500 0.676 0.824
0.500 0.176 0.676
0.500 0.824 0.324
0.000 0.500 0.500
0.000 0.000 0.000
0.000 0.871 0.629
0.000 0.371 0.871
0.000 0.129 0.371
0.000 0.629 0.129
```

Output
For the calculated total energy, the calculation gives -12.65 eV/atom. The density comes out at 3.75 Mg/m³. The volume comes out at 175.1 Å³/cell. The value obtained for the density of states at the Fermi level is 6.50 states/eV per cell.

No. 3
Density functional theory data (SCAN) for MgNbSi2Te at its PBEsol-relaxed geometry.

```
MgNbSi2Te
1.0
4.895 0.000 0.000
0.000 4.895 0.000
0.000 0.000 5.319
Te Si Mg Nb
1 2 1 1
direct
0.000 0.000 0.500
0.000 0.500 0.000
0.500 0.000 0.000
0.500 0.500 0.500
0.000 0.000 0.000
```

Output
For the calculated total energy, the calculation gives -18.52 eV/atom. The density comes out at 3.92 Mg/m³. The volume comes out at 127.5 Å³/cell. The value obtained for the density of states at the Fermi level is 2.67 states/eV per cell.

No. 4
Density functional theory data (SCAN) for Mg3NbSn at its PBEsol-relaxed geometry.

```
Mg3NbSn
1.0
-2.331 -1.585 4.411
2.087 -4.762 -0.608
4.197 1.487 2.753
Sn Mg Nb
1 3 1
direct
0.000 0.000 0.000
0.000 0.000 0.500
0.000 0.500 0.000
0.500 0.000 0.000
0.500 0.500 0.500
```

Output
For the calculated total energy, the calculation gives -15.82 eV/atom. The density comes out at 3.29 Mg/m³. The volume comes out at 143.4 Å³/cell. The value obtained for the density of states at the Fermi level is 4.94 states/eV per cell.

No. 5
Density functional theory data (SCAN) for MgNb3Sn at its PBEsol-relaxed geometry.

```
MgNb3Sn
1.0
5.030 0.000 0.000
0.000 5.030 0.000
0.000 0.000 5.030
Nb Mg Sn
3 1 1
direct
0.500 0.000 0.000
0.000 0.500 0.000
0.000 0.000 0.500
0.500 0.500 0.500
0.000 0.000 0.000
```

Output
For the calculated total energy, the calculation gives -26.60 eV/atom. The density comes out at 5.50 Mg/m³. The volume comes out at 127.3 Å³/cell. The value obtained for the density of states at the Fermi level is 5.34 states/eV per cell.

No. 6
Density functional theory data (SCAN) for MgZr2NbSn at its PBEsol-relaxed geometry.

```
MgZr2NbSn
1.0
-0.775 1.983 4.604
-0.280 -4.830 2.033
5.179 0.056 0.848
Mg Nb Zr Sn
1 1 2 1
direct
0.500 0.500 0.500
0.500 0.000 0.000
0.000 0.500 0.000
0.000 0.000 0.500
0.000 0.000 0.000
```

Output
For the calculated total energy, the calculation gives -26.18 eV/atom. The density comes out at 4.97 Mg/m³. The volume comes out at 139.7 Å³/cell. The value obtained for the density of states at the Fermi level is 3.28 states/eV per cell.